Record 1
A plane-wave DFT calculation with PBE-GGA was carried out for an optimized crystal structure of HfGe2Bi2.

Cell lengths 7.3201, 7.3201, 4.5434 Å; angles 90.00, 90.00, 90.00 degrees
Closest atoms and distances in Å follow each position.
Space group P4/mbm (No. 127)
Symmetry-distinct sites (fractional):
Hf: 0.0000 0.0000 0.0000 x2  4 Ge 2.83
Ge: 0.1397 0.3603 0.0000 x4  2 Hf 2.83, 1 Ge 2.89, 2 Bi 3.01
Bi: 0.1703 0.6703 0.5000 x4  6 Ge 3.01-3.22

Values from the calculation:
For the distance to the lowest polymorph of the same formula, the calculation gives 0.000 eV per atom. Its energy of formation from the pure elements is 0.57 eV/f.u. As for the total energy: -5.28 eV/atom. The calculation puts the size of the total moment at 0.00 μB per cell.

Record 2
A plane-wave DFT calculation with PBE-GGA was carried out for an optimized crystal structure of Hf3GeBi.

Cell lengths 5.0131, 5.0131, 5.0131 Å; angles 90.00, 90.00, 90.00 degrees
Closest atoms and distances in Å follow each position.
Space group Pm-3m (No. 221)
Symmetry-distinct sites (fractional):
Hf: 0.0000 0.0000 0.5000 x3  2 Ge 2.51
Ge: 0.0000 0.0000 0.0000 x1  6 Hf 2.51
Bi: 0.5000 0.5000 0.5000 x1  12 Hf 3.54

Values from the calculation:
For the distance to the lowest polymorph of the same formula, the calculation gives 0.385 eV per atom. Its energy of formation from the pure elements is 1.62 eV/f.u. As for the total energy: -7.35 eV/atom. The calculation puts the size of the total moment at 0.00 μB per cell.

Record 3
A plane-wave DFT calculation with PBE-GGA was carried out for an optimized crystal structure of HfGeBi2.

Cell lengths 6.6631, 6.6631, 13.4676 Å; angles 90.00, 90.00, 90.00 degrees
Closest atoms and distances in Å follow each position.
Space group I-42d (No. 122)
Symmetry-distinct sites (fractional):
Hf: 0.0000 0.0000 0.0000 x4  4 Bi 2.88
Ge: 0.0000 0.0000 0.5000 x4  4 Bi 2.91
Bi: 0.2459 0.2500 0.1250 x8  2 Hf 2.88, 2 Ge 2.91

Values from the calculation:
Its energy of formation from the pure elements is 1.74 eV/f.u. As for the total energy: -5.15 eV/atom. The calculation puts the size of the total moment at 0.00 μB per cell.